A relaxed SrZrAs2Br crystal, computed with GGA-PBE.

```
SrZrAs2Br
1.0
5.221 0.000 0.000
0.000 5.221 0.000
0.000 0.000 5.419
Sr Zr As Br
1 1 2 1
direct
0.000 0.000 0.000
0.500 0.500 0.500
0.000 0.500 0.500
0.500 0.000 0.500
0.500 0.500 0.000
```

Values from the calculation:
Formation energy from raw total energies: -0.848 eV per atom
Crystal system: tetragonal
Polymorph energy (0 for the lowest one): 0 meV per atom
SG: P4/mmm (123)

***

A relaxed Bi2Os2I crystal, computed with GGA-PBE.

```
Bi2Os2I
1.0
-2.745 2.745 4.187
2.745 -2.745 4.187
2.745 2.745 -4.187
Bi Os I
2 2 1
direct
0.250 0.750 0.500
0.750 0.250 0.500
0.135 0.135 0.000
0.865 0.865 0.000
0.500 0.500 0.000
```

Values from the calculation:
Formation energy from raw total energies: 0.866 eV per atom
Crystal system: tetragonal
Polymorph energy (0 for the lowest one): 0 meV per atom
SG: I4/mmm (139)

***

A relaxed BeZn2Re crystal, computed with GGA-PBE.

```
BeZn2Re
1.0
-1.360 2.105 4.409
1.360 -2.105 4.409
1.360 2.105 -4.409
Be Zn Re
1 2 1
direct
0.000 0.000 0.000
0.226 0.726 0.500
0.774 0.274 0.500
0.500 0.500 0.000
```

Values from the calculation:
Electronic total energy: -4.54 eV per atom
Crystal system: orthorhombic
SG: Immm (71)

***

A relaxed Rb4Ac3TbSe8 crystal, computed with GGA-PBE.

```
Rb4Ac3TbSe8
1.0
4.525 2.613 8.044
-4.525 2.613 8.044
0.000 -5.225 8.044
Rb Ac Tb Se
4 3 1 8
direct
0.000 0.000 0.000
0.000 0.500 0.500
0.500 0.000 0.500
0.500 0.500 0.000
0.000 0.000 0.500
0.000 0.500 0.000
0.500 0.000 0.000
0.500 0.500 0.500
0.237 0.237 0.237
0.250 0.726 0.726
0.274 0.274 0.750
0.274 0.750 0.274
0.726 0.250 0.726
0.726 0.726 0.250
0.750 0.274 0.274
0.763 0.763 0.763
```

Values from the calculation:
Formation energy from raw total energies: -1.777 eV per atom
Crystal system: trigonal
SG: R-3m (166)

***

A relaxed Be2RuI8 crystal, computed with GGA-PBE.

```
Be2RuI8
1.0
7.049 -4.725 0.000
7.049 4.725 0.000
-0.002 0.000 6.535
Be Ru I
2 1 8
direct
0.167 0.167 0.407
0.833 0.833 0.593
0.000 0.000 0.000
0.117 0.728 0.748
0.167 0.167 0.780
0.272 0.883 0.252
0.328 0.328 0.330
0.672 0.672 0.670
0.728 0.117 0.748
0.833 0.833 0.220
0.883 0.272 0.252
```

Values from the calculation:
Formation energy from raw total energies: -0.263 eV per atom
Crystal system: monoclinic
SG: C2/m (12)

***

A relaxed CsRb2LiAu crystal, computed with GGA-PBE.

```
CsRb2LiAu
1.0
6.796 0.000 0.000
0.000 6.796 0.000
0.000 0.000 7.017
Cs Rb Li Au
1 2 1 1
direct
0.000 0.000 0.000
0.000 0.500 0.500
0.500 0.000 0.500
0.500 0.500 0.000
0.000 0.000 0.500
```

Values from the calculation:
Crystal system: tetragonal
Polymorph energy (0 for the lowest one): 44 meV per atom
SG: P4/mmm (123)

***

A relaxed Li2ZrSb2 crystal, computed with GGA-PBE.

```
Li2ZrSb2
1.0
7.942 0.000 0.000
0.000 7.942 0.000
0.000 0.000 3.169
Li Zr Sb
4 2 4
direct
0.111 0.389 0.000
0.389 0.889 0.000
0.611 0.111 0.000
0.889 0.611 0.000
0.000 0.000 0.000
0.500 0.500 0.000
0.186 0.686 0.500
0.314 0.186 0.500
0.686 0.814 0.500
0.814 0.314 0.500
```

Values from the calculation:
Formation energy from raw total energies: -0.360 eV per atom
Crystal system: tetragonal
SG: P4/mbm (127)

***

A relaxed MnAl2W crystal, computed with GGA-PBE.

```
MnAl2W
1.0
-1.922 1.922 3.939
1.922 -1.922 3.939
1.922 1.922 -3.939
Mn Al W
1 2 1
direct
0.000 0.000 0.000
0.250 0.750 0.500
0.750 0.250 0.500
0.500 0.500 0.000
```

Values from the calculation:
Crystal system: tetragonal
Polymorph energy (0 for the lowest one): 139 meV per atom
SG: I4/mmm (139)

***

A relaxed Cd2Rh crystal, computed with GGA-PBE.

```
Cd2Rh
1.0
5.142 -1.509 0.000
5.142 1.509 0.000
-2.945 0.000 7.247
Cd Rh
4 2
direct
0.003 0.003 0.306
0.344 0.344 0.919
0.656 0.656 0.081
0.997 0.997 0.694
0.301 0.301 0.395
0.699 0.699 0.605
```

Values from the calculation:
Electronic total energy: -3.09 eV per atom
Crystal system: monoclinic
SG: C2/m (12)

***

A relaxed Li2NiOs crystal, computed with GGA-PBE.

```
Li2NiOs
1.0
2.612 0.000 0.000
0.000 2.612 0.000
0.000 0.000 8.264
Li Ni Os
2 1 1
direct
0.000 0.000 0.000
0.500 0.500 0.316
0.000 0.000 0.542
0.500 0.500 0.753
```

Values from the calculation:
Crystal system: tetragonal
Polymorph energy (0 for the lowest one): 85 meV per atom
SG: P4mm (99)

***

A relaxed Sm2Cd2Ag crystal, computed with GGA-PBE.

```
Sm2Cd2Ag
1.0
2.448 -7.608 0.000
2.448 7.608 0.000
0.000 0.000 3.403
Sm Cd Ag
2 2 1
direct
0.114 0.886 0.000
0.886 0.114 0.000
0.303 0.697 0.500
0.697 0.303 0.500
0.500 0.500 0.500
```

Values from the calculation:
Crystal system: orthorhombic
Polymorph energy (0 for the lowest one): 32 meV per atom
SG: Cmmm (65)

***

A relaxed NdDyTl crystal, computed with GGA-PBE.

```
NdDyTl
1.0
0.000 3.727 3.727
3.727 0.000 3.727
3.727 3.727 0.000
Nd Dy Tl
1 1 1
direct
0.000 0.000 0.000
0.500 0.500 0.500
0.250 0.250 0.250
```

Values from the calculation:
Crystal system: cubic
Polymorph energy (0 for the lowest one): 227 meV per atom
SG: F-43m (216)

***

A relaxed Ca2GaBP crystal, computed with GGA-PBE.

```
Ca2GaBP
1.0
5.656 0.000 0.000
0.000 5.656 0.000
0.000 0.000 3.689
Ca Ga B P
2 1 1 1
direct
0.000 0.500 0.000
0.500 0.000 0.000
0.000 0.000 0.000
0.000 0.000 0.500
0.500 0.500 0.500
```

Values from the calculation:
Electronic total energy: -3.70 eV per atom
Crystal system: tetragonal
SG: P4/mmm (123)

***

A relaxed SrCdGe2 crystal, computed with GGA-PBE.

```
SrCdGe2
1.0
14.858 0.000 0.000
0.000 4.584 0.000
0.000 0.000 11.773
Sr Cd Ge
8 8 16
direct
0.054 0.250 0.245
0.199 0.750 0.972
0.301 0.250 0.472
0.446 0.750 0.745
0.554 0.250 0.255
0.699 0.750 0.528
0.801 0.250 0.028
0.946 0.750 0.755
0.058 0.250 0.555
0.203 0.750 0.674
0.297 0.250 0.174
0.442 0.750 0.055
0.558 0.250 0.945
0.703 0.750 0.826
0.797 0.250 0.326
0.942 0.750 0.445
0.043 0.250 0.980
0.107 0.250 0.782
0.134 0.750 0.454
0.214 0.750 0.264
0.286 0.250 0.764
0.366 0.250 0.954
0.393 0.750 0.282
0.457 0.750 0.480
0.543 0.250 0.520
0.607 0.250 0.718
0.634 0.750 0.046
0.714 0.750 0.236
0.786 0.250 0.736
0.866 0.250 0.546
0.893 0.750 0.218
0.957 0.750 0.020
```

Values from the calculation:
Electronic total energy: -3.33 eV per atom
Crystal system: orthorhombic
SG: Pnma (62)

***

A relaxed DyPuRhPb crystal, computed with GGA-PBE.

```
DyPuRhPb
1.0
0.000 3.654 3.654
3.654 0.000 3.654
3.654 3.654 0.000
Dy Pu Rh Pb
1 1 1 1
direct
0.000 0.000 0.000
0.500 0.500 0.500
0.750 0.750 0.750
0.250 0.250 0.250
```

Values from the calculation:
Crystal system: cubic
Polymorph energy (0 for the lowest one): 203 meV per atom
SG: F-43m (216)

***

A relaxed TlRe2Cl8 crystal, computed with GGA-PBE.

```
TlRe2Cl8
1.0
6.829 -3.601 0.000
6.829 3.601 0.000
-2.663 0.000 7.658
Tl Re Cl
1 2 8
direct
0.000 0.000 0.000
0.205 0.205 0.682
0.795 0.795 0.318
0.111 0.652 0.237
0.190 0.190 0.398
0.348 0.889 0.763
0.374 0.374 0.833
0.626 0.626 0.167
0.652 0.111 0.237
0.810 0.810 0.602
0.889 0.348 0.763
```

Values from the calculation:
Formation energy from raw total energies: -0.320 eV per atom
Crystal system: monoclinic
SG: C2/m (12)

***

A relaxed CePr3Sb3 crystal, computed with GGA-PBE.

```
CePr3Sb3
1.0
9.366 0.000 0.000
-4.683 8.111 0.000
0.000 0.000 5.963
Ce Pr Sb
2 6 6
direct
0.333 0.667 0.250
0.667 0.333 0.750
0.013 0.755 0.250
0.245 0.258 0.250
0.258 0.013 0.750
0.742 0.987 0.250
0.755 0.742 0.750
0.987 0.245 0.750
0.052 0.630 0.750
0.370 0.423 0.750
0.423 0.052 0.250
0.577 0.948 0.750
0.630 0.577 0.250
0.948 0.370 0.250
```

Values from the calculation:
Formation energy from raw total energies: -0.761 eV per atom
Crystal system: hexagonal
Polymorph energy (0 for the lowest one): 263 meV per atom
SG: P6_3/m (176)

***

A relaxed CaV2TcNi crystal, computed with GGA-PBE.

```
CaV2TcNi
1.0
4.526 0.000 0.000
0.000 4.526 0.000
0.000 0.000 4.702
Ca V Tc Ni
1 2 1 1
direct
0.000 0.000 0.000
0.000 0.500 0.500
0.500 0.000 0.500
0.500 0.500 0.000
0.500 0.500 0.500
```

Values from the calculation:
Electronic total energy: -6.41 eV per atom
Crystal system: tetragonal
SG: P4/mmm (123)

***

A relaxed MnBi2TeC crystal, computed with GGA-PBE.

```
MnBi2TeC
1.0
5.064 0.000 0.000
0.000 5.064 0.000
0.000 0.000 4.616
Mn Bi Te C
1 2 1 1
direct
0.000 0.000 0.000
0.000 0.500 0.500
0.500 0.000 0.500
0.500 0.500 0.000
0.500 0.500 0.500
```

Values from the calculation:
Formation energy from raw total energies: 1.113 eV per atom
Crystal system: tetragonal
SG: P4/mmm (123)

***

A relaxed CuNiRu crystal, computed with GGA-PBE.

```
CuNiRu
1.0
-1.282 1.841 3.931
1.282 -1.841 3.931
1.282 1.841 -3.931
Cu Ni Ru
1 1 1
direct
0.000 0.000 0.000
0.335 0.335 0.000
0.672 0.672 0.000
```

Values from the calculation:
Crystal system: orthorhombic
Polymorph energy (0 for the lowest one): 92 meV per atom
SG: Imm2 (44)

***

A relaxed CaCoGeS2 crystal, computed with GGA-PBE.

```
CaCoGeS2
1.0
5.152 0.000 0.000
0.000 5.152 0.000
0.000 0.000 4.791
Ca Co Ge S
1 1 1 2
direct
0.000 0.000 0.000
0.000 0.000 0.500
0.500 0.500 0.500
0.000 0.500 0.000
0.500 0.000 0.000
```

Values from the calculation:
Formation energy from raw total energies: 0.774 eV per atom
Crystal system: tetragonal
SG: P4/mmm (123)

***

A relaxed CsLiHg2As crystal, computed with GGA-PBE.

```
CsLiHg2As
1.0
5.689 0.000 0.000
0.000 5.689 0.000
0.000 0.000 5.067
Cs Li Hg As
1 1 2 1
direct
0.000 0.000 0.000
0.500 0.500 0.000
0.000 0.500 0.500
0.500 0.000 0.500
0.500 0.500 0.500
```

Values from the calculation:
Electronic total energy: -1.80 eV per atom
Crystal system: tetragonal
SG: P4/mmm (123)

***

A relaxed LiCd4Rh crystal, computed with GGA-PBE.

```
LiCd4Rh
1.0
0.000 3.933 3.933
3.933 0.000 3.933
3.933 3.933 0.000
Li Cd Rh
1 4 1
direct
0.000 0.000 0.000
0.375 0.375 0.375
0.375 0.375 0.874
0.375 0.874 0.375
0.874 0.375 0.375
0.750 0.750 0.750
```

Values from the calculation:
Crystal system: cubic
Polymorph energy (0 for the lowest one): 281 meV per atom
SG: F-43m (216)

***

A relaxed Sc4SnPbN crystal, computed with GGA-PBE.

```
Sc4SnPbN
1.0
3.122 -7.531 0.000
3.122 7.531 0.000
0.000 0.000 6.243
Sc Sn Pb N
8 2 2 2
direct
0.000 0.500 0.000
0.000 0.500 0.500
0.097 0.903 0.750
0.400 0.600 0.750
0.500 0.000 0.000
0.500 0.000 0.500
0.600 0.400 0.250
0.903 0.097 0.250
0.105 0.895 0.250
0.895 0.105 0.750
0.398 0.602 0.250
0.602 0.398 0.750
0.250 0.750 0.750
0.750 0.250 0.250
```

Values from the calculation:
Formation energy from raw total energies: -0.963 eV per atom
Crystal system: orthorhombic
SG: Cmcm (63)

***

A relaxed RbSrNF2 crystal, computed with GGA-PBE.

```
RbSrNF2
1.0
4.871 0.000 0.000
0.000 4.871 0.000
0.000 0.000 4.605
Rb Sr N F
1 1 1 2
direct
0.000 0.000 0.000
0.500 0.500 0.500
0.000 0.000 0.500
0.000 0.500 0.000
0.500 0.000 0.000
```

Values from the calculation:
Formation energy from raw total energies: -0.913 eV per atom
Crystal system: tetragonal
Polymorph energy (0 for the lowest one): 813 meV per atom
SG: P4/mmm (123)